No. 1
Compound: Ca2Pt3
Source: Alexandria via LeMat-Bulk
Functional: PBE
Structure: optimized geometry

Calculated values
Density of states at the Fermi level = 0.358 states/eV per atom
DFT total energy = -5.0470 eV/atom
ΔH_f (0 K) = -0.622 eV per atom
Total magnetization = 0.00 μB/atom

a b c (Å): 2.983 5.061 12.978
angles (deg): 87.16 90.00 90.00
Positions (direct):
Ca  0.250  0.112  0.625
Ca  0.750  0.888  0.375
Ca  0.250  0.610  0.802
Ca  0.750  0.390  0.198
Pt  0.250  0.891  0.176
Pt  0.750  0.747  0.001
Pt  0.750  0.618  0.583
Pt  0.250  0.382  0.417
Pt  0.250  0.253  0.999
Pt  0.750  0.109  0.824


No. 2
Compound: Sr8TlAg2
Source: Alexandria via LeMat-Bulk
Functional: PBE
Structure: optimized geometry

Calculated values
Density of states at the Fermi level = 0.855 states/eV per atom
DFT total energy = -2.1029 eV/atom
ΔH_f (0 K) = -0.146 eV per atom
Total magnetization = 0.00 μB/atom

a b c (Å): 6.415 9.010 9.010
angles (deg): 111.90 98.75 98.75
Positions (direct):
Sr  0.581  0.331  0.073
Sr  0.581  0.073  0.331
Sr  0.184  0.373  0.373
Sr  0.994  0.236  0.769
Sr  0.994  0.769  0.236
Sr  0.808  0.633  0.633
Sr  0.402  0.933  0.675
Sr  0.402  0.675  0.933
Tl  0.064  0.003  0.003
Ag  0.495  0.690  0.317
Ag  0.495  0.317  0.690


No. 3
Compound: PmPr2Nd5
Source: Alexandria via LeMat-Bulk
Functional: PBE
Structure: optimized geometry

Calculated values
Density of states at the Fermi level = 1.681 states/eV per atom
DFT total energy = -4.7560 eV/atom
ΔH_f (0 K) = 0.013 eV per atom
ΔE to the lowest computed polymorph = 0 meV per atom
Total magnetization = 0.00 μB/atom

a b c (Å): 5.215 7.368 14.734
angles (deg): 90.00 90.00 90.00
Positions (direct):
Pm  0.000  0.000  0.500
Pm  0.000  0.500  0.000
Pr  0.500  0.250  0.625
Pr  0.500  0.750  0.375
Pr  0.500  0.250  0.125
Pr  0.500  0.750  0.875
Nd  0.000  0.000  0.000
Nd  0.000  0.500  0.500
Nd  0.000  0.500  0.750
Nd  0.000  0.500  0.250
Nd  0.000  0.000  0.250
Nd  0.000  0.000  0.750
Nd  0.500  0.250  0.875
Nd  0.500  0.750  0.125
Nd  0.500  0.250  0.375
Nd  0.500  0.750  0.625


No. 4
Compound: CsCdBiTe3
Source: Alexandria via LeMat-Bulk
Functional: PBE
Structure: optimized geometry

Calculated values
Density of states at the Fermi level = 0.000 states/eV per atom
DFT total energy = -3.0975 eV/atom
Total magnetization = 0.00 μB/atom

a b c (Å): 4.636 10.344 11.180
angles (deg): 109.53 90.00 90.00
Positions (direct):
Cs  0.250  0.209  0.249
Cs  0.750  0.791  0.751
Cd  0.250  0.084  0.613
Cd  0.750  0.916  0.387
Bi  0.250  0.668  0.127
Bi  0.750  0.332  0.873
Te  0.750  0.878  0.123
Te  0.250  0.122  0.877
Te  0.250  0.788  0.457
Te  0.750  0.212  0.543
Te  0.750  0.467  0.155
Te  0.250  0.533  0.845